No. 1
A relaxed Mg2PdSe crystal, computed with GGA-PBEsol.

Cell lengths 6.764, 6.764, 7.633 Å; angles 90.00, 90.00, 90.00 degrees
Space group I-42d (No. 122)
Inequivalent atoms, fractional coordinates:
Mg 0.248 0.250 0.125 (multiplicity 8)
Pd 0.000 0.000 0.500 (multiplicity 4)
Se 0.000 0.000 0.000 (multiplicity 4)

Calculated values
E_tot ... -58.80 eV per cell

=====

No. 2
A relaxed SrMgPdSe2 crystal, computed with GGA-PBEsol.

Cell lengths 4.834, 4.834, 5.901 Å; angles 90.00, 90.00, 90.00 degrees
Space group P4/mmm (No. 123)
Inequivalent atoms, fractional coordinates:
Sr 0.000 0.000 0.000 (multiplicity 1)
Mg 0.000 0.000 0.500 (multiplicity 1)
Pd 0.500 0.500 0.000 (multiplicity 1)
Se 0.000 0.500 0.500 (multiplicity 2)

Calculated values
E_tot ... -16.71 eV per cell